Density functional theory data (PBE) for crystalline HfZn11Au at its relaxed geometry.

For the formation enthalpy at 0 K, the calculation gives -91 meV/atom. For the density of states at the Fermi level, the calculation gives 0.187 states/eV/atom.

CIF file:
```
data_HfZn11Au
_cell_length_a 6.725
_cell_length_b 6.725
_cell_length_c 6.744
_cell_angle_alpha 98.74
_cell_angle_beta 98.74
_cell_angle_gamma 134.01
_space_group_name_H-M_alt 'P 1'
_space_group_IT_number 1
loop_
_space_group_symop_operation_xyz
'x,y,z'
loop_
_atom_site_label
_atom_site_type_symbol
_atom_site_fract_x
_atom_site_fract_y
_atom_site_fract_z
Hf1 Hf 0.000 0.000 0.000
Zn1 Zn 0.000 0.000 0.500
Zn2 Zn 0.000 0.500 0.000
Zn3 Zn 0.006 0.652 0.652
Zn4 Zn 0.279 0.491 0.793
Zn5 Zn 0.348 0.994 0.348
Zn6 Zn 0.491 0.279 0.793
Zn7 Zn 0.500 0.000 0.000
Zn8 Zn 0.509 0.721 0.207
Zn9 Zn 0.652 0.006 0.652
Zn10 Zn 0.721 0.509 0.207
Zn11 Zn 0.994 0.348 0.348
Au1 Au 0.500 0.500 0.500
```